(1)
# Be2Ru2Au | Alexandria | PBE | relaxed
data_Be2Ru2Au
_symmetry_space_group_name_H-M 'P 1'
_symmetry_Int_Tables_number 1
_symmetry_space_group_name_Hall 'P 1'
_cell_length_a 6.190
_cell_length_b 6.190
_cell_length_c 3.166
_cell_angle_alpha 90.00
_cell_angle_beta 90.00
_cell_angle_gamma 90.00
loop_
_atom_site_label
_atom_site_type_symbol
_atom_site_fract_x
_atom_site_fract_y
_atom_site_fract_z
Be1 Be 0.123 0.377 0.000
Be2 Be 0.377 0.877 0.000
Be3 Be 0.623 0.123 0.000
Be4 Be 0.877 0.623 0.000
Ru1 Ru 0.167 0.667 0.500
Ru2 Ru 0.333 0.167 0.500
Ru3 Ru 0.667 0.833 0.500
Ru4 Ru 0.833 0.333 0.500
Au1 Au 0.000 0.000 0.000
Au2 Au 0.500 0.500 0.000
# Energy of formation   -0.098 eV/atom
# Symmetry   P4/mbm, No. 127



(2)
# PmSm5Cu6 | Alexandria | PBE | relaxed
data_PmSm5Cu6
_symmetry_space_group_name_H-M 'P 1'
_symmetry_Int_Tables_number 1
_symmetry_space_group_name_Hall 'P 1'
_cell_length_a 7.974
_cell_length_b 7.974
_cell_length_c 7.038
_cell_angle_alpha 90.00
_cell_angle_beta 90.00
_cell_angle_gamma 143.10
loop_
_atom_site_label
_atom_site_type_symbol
_atom_site_fract_x
_atom_site_fract_y
_atom_site_fract_z
Pm1 Pm 0.000 0.000 0.000
Sm1 Sm 0.000 0.000 0.500
Sm2 Sm 0.333 0.667 0.000
Sm3 Sm 0.334 0.666 0.500
Sm4 Sm 0.666 0.334 0.500
Sm5 Sm 0.667 0.333 0.000
Cu1 Cu 0.167 0.833 0.251
Cu2 Cu 0.167 0.833 0.749
Cu3 Cu 0.500 0.500 0.251
Cu4 Cu 0.500 0.500 0.749
Cu5 Cu 0.833 0.167 0.251
Cu6 Cu 0.833 0.167 0.749
# Energy of formation   -0.177 eV/atom
# Symmetry   Cmmm, No. 65



(3)
# KSnAuS3 | Alexandria | PBE | relaxed
data_KSnAuS3
_symmetry_space_group_name_H-M 'P 1'
_symmetry_Int_Tables_number 1
_symmetry_space_group_name_Hall 'P 1'
_cell_length_a 8.304
_cell_length_b 8.304
_cell_length_c 19.545
_cell_angle_alpha 90.00
_cell_angle_beta 90.00
_cell_angle_gamma 90.00
loop_
_atom_site_label
_atom_site_type_symbol
_atom_site_fract_x
_atom_site_fract_y
_atom_site_fract_z
K1 K 0.000 0.000 0.000
K2 K 0.000 0.000 0.203
K3 K 0.000 0.000 0.500
K4 K 0.000 0.000 0.703
K5 K 0.500 0.500 0.052
K6 K 0.500 0.500 0.334
K7 K 0.500 0.500 0.552
K8 K 0.500 0.500 0.834
Sn1 Sn 0.000 0.500 0.019
Sn2 Sn 0.000 0.500 0.195
Sn3 Sn 0.000 0.500 0.519
Sn4 Sn 0.000 0.500 0.695
Sn5 Sn 0.500 0.000 0.019
Sn6 Sn 0.500 0.000 0.195
Sn7 Sn 0.500 0.000 0.519
Sn8 Sn 0.500 0.000 0.695
Au1 Au 0.007 0.316 0.357
Au2 Au 0.007 0.684 0.857
Au3 Au 0.316 0.007 0.857
Au4 Au 0.316 0.993 0.357
Au5 Au 0.684 0.007 0.357
Au6 Au 0.684 0.993 0.857
Au7 Au 0.993 0.316 0.857
Au8 Au 0.993 0.684 0.357
S1 S 0.152 0.345 0.107
S2 S 0.152 0.655 0.607
S3 S 0.166 0.320 0.762
S4 S 0.166 0.680 0.262
S5 S 0.177 0.328 0.453
S6 S 0.177 0.672 0.953
S7 S 0.320 0.166 0.262
S8 S 0.320 0.834 0.762
S9 S 0.328 0.177 0.953
S10 S 0.328 0.823 0.453
S11 S 0.345 0.152 0.607
S12 S 0.345 0.848 0.107
S13 S 0.655 0.152 0.107
S14 S 0.655 0.848 0.607
S15 S 0.672 0.177 0.453
S16 S 0.672 0.823 0.953
S17 S 0.680 0.166 0.762
S18 S 0.680 0.834 0.262
S19 S 0.823 0.328 0.953
S20 S 0.823 0.672 0.453
S21 S 0.834 0.320 0.262
S22 S 0.834 0.680 0.762
S23 S 0.848 0.345 0.607
S24 S 0.848 0.655 0.107
# Formation energy without anion corrections   -609 meV/atom
# Symmetry   P4cc, No. 103